# ThAgPd | Alexandria | GGA-PBE | relaxed
data_ThAgPd
_cell_length_a 3.805
_cell_length_b 3.805
_cell_length_c 5.410
_cell_angle_alpha 110.59
_cell_angle_beta 110.59
_cell_angle_gamma 90.00
_symmetry_space_group_name_H-M 'P 1'
_symmetry_Int_Tables_number 1
loop_
_symmetry_equiv_pos_as_xyz
'x,y,z'
loop_
_atom_site_label
_atom_site_type_symbol
_atom_site_fract_x
_atom_site_fract_y
_atom_site_fract_z
Pd1 Pd 0.289 0.289 0.577
Ag1 Ag 0.620 0.620 0.241
Th1 Th 0.941 0.941 0.882
# Calculated density, kg/m³: 10909
# E_tot, eV per atom: -5.568
# Calculated formation energy, eV per atom: -0.41

***

# Mo3AsPd | Alexandria | GGA-PBE | relaxed
data_Mo3AsPd
_cell_length_a 4.580
_cell_length_b 4.580
_cell_length_c 4.580
_cell_angle_alpha 90.00
_cell_angle_beta 90.00
_cell_angle_gamma 90.00
_symmetry_space_group_name_H-M 'P 1'
_symmetry_Int_Tables_number 1
loop_
_symmetry_equiv_pos_as_xyz
'x,y,z'
loop_
_atom_site_label
_atom_site_type_symbol
_atom_site_fract_x
_atom_site_fract_y
_atom_site_fract_z
As1 As 0.000 0.000 0.000
Mo1 Mo 0.500 0.000 0.000
Mo2 Mo 0.000 0.500 0.000
Mo3 Mo 0.000 0.000 0.500
Pd1 Pd 0.500 0.500 0.500
# Calculated density, kg/m³: 8111
# E_tot, eV per atom: -7.254
# Calculated formation energy, eV per atom: 1.21

***

# KCoAu | Alexandria | GGA-PBE | relaxed
data_KCoAu
_cell_length_a 3.027
_cell_length_b 3.027
_cell_length_c 7.683
_cell_angle_alpha 90.00
_cell_angle_beta 90.00
_cell_angle_gamma 120.00
_symmetry_space_group_name_H-M 'P 1'
_symmetry_Int_Tables_number 1
loop_
_symmetry_equiv_pos_as_xyz
'x,y,z'
loop_
_atom_site_label
_atom_site_type_symbol
_atom_site_fract_x
_atom_site_fract_y
_atom_site_fract_z
Au1 Au 0.000 0.000 0.035
Co1 Co 0.333 0.667 0.301
K1 K 0.667 0.333 0.664
# Calculated density, kg/m³: 8033
# E_tot, eV per atom: -3.092
# Calculated formation energy, eV per atom: 0.74

***

Q: calculated formation energy of number 1 (ThAgPd)?
A: -0.41 eV per atom

***

Q: What is the formula in the second record?
A: Mo3AsPd

***

Q: What is the calculated formation energy in the third record?
A: 0.74 eV per atom